No. 1
Sm4Dy2MgSc | PBE | relaxed

Calculated values
- Energy: -4.48 eV per atom
- Calculated density: 6.76 g cm⁻³
- Energy of formation from the pure elements: 0.17 eV/f.u.
- Symmetry: P2/m

abc: 5.0128 5.0093 9.7380
angles: 90.00 90.04 90.00
Element x y z (fractional)
Sm 0.9996 0.0000 0.2484
Sm 0.0004 0.0000 0.7516
Sm 0.4994 0.5000 0.2484
Sm 0.5006 0.5000 0.7516
Dy 0.0000 0.5000 0.0000
Dy 0.5000 0.0000 0.5000
Mg 0.0000 0.5000 0.5000
Sc 0.5000 0.0000 0.0000

***

No. 2
Na3Ac2HoS6 | PBE | relaxed

Calculated values
- Energy: -5.27 eV per atom
- Calculated density: 4.65 g cm⁻³
- Uncorrected formation energy: -21.69 eV per formula unit
- Symmetry: C2/m

abc: 9.3851 9.3851 8.3001
angles: 101.06 101.06 26.03
Element x y z (fractional)
Na 0.0000 0.0000 0.0000
Na 0.3413 0.3413 0.6732
Na 0.6587 0.6587 0.3268
Ac 0.3348 0.3348 0.1772
Ac 0.6652 0.6652 0.8228
Ho 0.0000 0.0000 0.5000
S 0.1541 0.1541 0.5705
S 0.1675 0.1675 0.0773
S 0.4988 0.4988 0.2764
S 0.5012 0.5012 0.7236
S 0.8325 0.8325 0.9227
S 0.8459 0.8459 0.4295

***

No. 3
TlIrIN2 | PBE | relaxed

Calculated values
- Energy: -3.51 eV per atom
- Calculated density: 7.64 g cm⁻³
- Uncorrected formation energy: 11.85 eV per formula unit
- Symmetry: P4/mmm

abc: 4.1312 4.1312 7.0224
angles: 90.00 90.00 90.00
Element x y z (fractional)
Tl 0.0000 0.0000 0.0000
Ir 0.5000 0.5000 0.5000
I 0.0000 0.0000 0.5000
N 0.0000 0.5000 0.0000
N 0.5000 0.0000 0.0000